# CaSnPCl2

Crystalline CaSnPCl2 at its relaxed geometry (PBE, the Alexandria database).

Computed properties:
Formation energy from raw total energies, kJ per mole of atoms: -59.4
Final energy, eV per cell: -18.18
Total moment, μB/f.u.: 0.97
Relative energy among the computed polymorphs, eV per atom: 0.003
SG: P4/mmm, No. 123

```
5
Lattice="-0.716 -0.399 -4.988 -4.819 -1.299 0.796 -1.570 5.684 -0.229" Properties=species:S:1:pos:R:3 pbc="T T T"
Ca 0.000 0.000 0.000
Cl -2.410 -0.650 0.398
Cl -0.358 -0.199 -2.494
Sn -3.553 1.993 -2.210
P -0.785 2.842 -0.115
```

# CaSnP2Cl

Crystalline CaSnP2Cl at its relaxed geometry (PBE, the Alexandria database).

Computed properties:
Formation energy from raw total energies, kJ per mole of atoms: -12.9
Final energy, eV per cell: -19.34
Total moment, μB/f.u.: 0.00
Relative energy among the computed polymorphs, eV per atom: 0.000
SG: P4/mmm, No. 123

```
5
Lattice="5.022 0.000 0.000 0.000 5.022 0.000 0.000 0.000 5.331" Properties=species:S:1:pos:R:3 pbc="T T T"
P 0.000 2.511 0.000
P 2.511 0.000 0.000
Cl 0.000 0.000 2.665
Ca 2.511 2.511 2.665
Sn 0.000 0.000 0.000
```

# CaSnP2Cl

Crystalline CaSnP2Cl at its relaxed geometry (PBE, the Alexandria database).

Computed properties:
Formation energy from raw total energies, kJ per mole of atoms: 22.2
Final energy, eV per cell: -17.52
Total moment, μB/f.u.: 0.79
Relative energy among the computed polymorphs, eV per atom: 0.364
SG: P4/mmm, No. 123

```
5
Lattice="-1.686 -5.000 -0.719 4.285 -1.817 2.589 -2.553 0.230 4.386" Properties=species:S:1:pos:R:3 pbc="T T T"
P 2.142 -0.908 1.294
P -0.843 -2.500 -0.360
Ca 0.000 0.000 0.000
Sn 0.023 -3.294 3.128
Cl -1.276 0.115 2.193
```

# SrCaP2Cl

Crystalline SrCaP2Cl at its relaxed geometry (PBE, the Alexandria database).

Computed properties:
Formation energy from raw total energies, kJ per mole of atoms: -19.9
Final energy, eV per cell: -17.38
Total moment, μB/f.u.: 0.08
Relative energy among the computed polymorphs, eV per atom: 0.332
SG: P4/mmm, No. 123

```
5
Lattice="5.437 0.000 0.000 0.000 5.437 0.000 0.000 0.000 5.435" Properties=species:S:1:pos:R:3 pbc="T T T"
P 0.000 2.718 0.000
P 2.718 0.000 0.000
Cl 0.000 0.000 2.717
Sr 0.000 0.000 0.000
Ca 2.718 2.718 2.717
```

# SrCaPCl2

Crystalline SrCaPCl2 at its relaxed geometry (PBE, the Alexandria database).

Computed properties:
Formation energy from raw total energies, kJ per mole of atoms: -103.6
Final energy, eV per cell: -18.16
Total moment, μB/f.u.: 1.02
Relative energy among the computed polymorphs, eV per atom: 0.288
SG: P4/mmm, No. 123

```
5
Lattice="5.361 0.000 0.000 0.000 5.361 0.000 0.000 0.000 5.984" Properties=species:S:1:pos:R:3 pbc="T T T"
Cl 0.000 2.680 0.000
Cl 2.680 0.000 0.000
Sr 0.000 0.000 0.000
P 0.000 0.000 2.992
Ca 2.680 2.680 2.992
```

# SrCaP2Cl

Crystalline SrCaP2Cl at its relaxed geometry (PBE, the Alexandria database).

Computed properties:
Formation energy from raw total energies, kJ per mole of atoms: -51.9
Final energy, eV per cell: -19.04
Total moment, μB/f.u.: 0.68
Relative energy among the computed polymorphs, eV per atom: 0.000
SG: P4/mmm, No. 123

```
5
Lattice="-1.436 -5.053 0.159 1.696 -0.638 -4.933 4.799 -1.307 1.819" Properties=species:S:1:pos:R:3 pbc="T T T"
Sr 2.530 -3.499 -1.477
P -0.718 -2.527 0.080
P 0.848 -0.319 -2.467
Ca 0.000 0.000 0.000
Cl 2.399 -0.653 0.910
```

# SrCaPCl2

Crystalline SrCaPCl2 at its relaxed geometry (PBE, the Alexandria database).

Computed properties:
Formation energy from raw total energies, kJ per mole of atoms: -131.4
Final energy, eV per cell: -19.60
Total moment, μB/f.u.: 1.00
Relative energy among the computed polymorphs, eV per atom: 0.000
SG: P4/mmm, No. 123

```
5
Lattice="-2.766 4.328 -0.338 -1.190 -1.142 -4.876 -4.638 -2.825 1.793" Properties=species:S:1:pos:R:3 pbc="T T T"
Ca 0.000 0.000 0.000
Sr -4.297 0.181 -1.711
Cl -0.595 -0.571 -2.438
Cl -1.383 2.164 -0.169
P -2.319 -1.412 0.896
```

# CaTaP2Cl

Crystalline CaTaP2Cl at its relaxed geometry (PBE, the Alexandria database).

Computed properties:
Formation energy from raw total energies, kJ per mole of atoms: 101.7
Final energy, eV per cell: -21.25
Total moment, μB/f.u.: 1.77
Relative energy among the computed polymorphs, eV per atom: 1.663
SG: P4/mmm, No. 123

```
5
Lattice="-0.553 -2.191 -4.618 2.263 -4.269 1.755 -4.289 -1.726 1.332" Properties=species:S:1:pos:R:3 pbc="T T T"
Ca 0.000 0.000 0.000
P -0.276 -1.096 -2.309
P 1.132 -2.135 0.877
Ta -1.289 -4.093 -0.765
Cl -2.144 -0.863 0.666
```

# CaTaPCl2

Crystalline CaTaPCl2 at its relaxed geometry (PBE, the Alexandria database).

Computed properties:
Formation energy from raw total energies, kJ per mole of atoms: -65.8
Final energy, eV per cell: -26.37
Total moment, μB/f.u.: 0.00
Relative energy among the computed polymorphs, eV per atom: 0.000
SG: P4/mmm, No. 123

```
5
Lattice="4.808 0.000 0.000 0.000 4.808 0.000 0.000 0.000 5.025" Properties=species:S:1:pos:R:3 pbc="T T T"
Ca 2.404 2.404 2.513
Cl 2.404 0.000 0.000
Cl 0.000 2.404 0.000
Ta 0.000 0.000 0.000
P 0.000 0.000 2.513
```

# CaTaP2Cl

Crystalline CaTaP2Cl at its relaxed geometry (PBE, the Alexandria database).

Computed properties:
Formation energy from raw total energies, kJ per mole of atoms: -58.7
Final energy, eV per cell: -29.56
Total moment, μB/f.u.: 0.00
Relative energy among the computed polymorphs, eV per atom: 0.000
SG: P4/mmm, No. 123

```
5
Lattice="4.866 0.000 0.000 0.000 4.866 0.000 0.000 0.000 4.867" Properties=species:S:1:pos:R:3 pbc="T T T"
Ca 2.433 2.433 2.433
P 2.433 0.000 0.000
P 0.000 2.433 0.000
Cl 0.000 0.000 2.433
Ta 0.000 0.000 0.000
```

# CaTaPCl2

Crystalline CaTaPCl2 at its relaxed geometry (PBE, the Alexandria database).

Computed properties:
Formation energy from raw total energies, kJ per mole of atoms: 30.8
Final energy, eV per cell: -21.36
Total moment, μB/f.u.: 2.00
Relative energy among the computed polymorphs, eV per atom: 1.002
SG: P4/mmm, No. 123

```
5
Lattice="4.856 0.000 0.000 0.000 4.856 0.000 0.000 0.000 6.089" Properties=species:S:1:pos:R:3 pbc="T T T"
Cl 0.000 2.428 0.000
Cl 2.428 0.000 0.000
P 0.000 0.000 3.045
Ta 2.428 2.428 3.045
Ca 0.000 0.000 0.000
```

# CaTcPCl2

Crystalline CaTcPCl2 at its relaxed geometry (PBE, the Alexandria database).

Computed properties:
Formation energy from raw total energies, kJ per mole of atoms: -49.7
Final energy, eV per cell: -24.05
Total moment, μB/f.u.: 0.41
Relative energy among the computed polymorphs, eV per atom: 0.000
SG: P4/mmm, No. 123

```
5
Lattice="4.941 0.000 0.000 0.000 4.941 0.000 0.000 0.000 4.592" Properties=species:S:1:pos:R:3 pbc="T T T"
Ca 2.470 2.470 2.296
Cl 2.470 0.000 0.000
Cl 0.000 2.470 0.000
P 0.000 0.000 2.296
Tc 0.000 0.000 0.000
```

# CaTcP2Cl

Crystalline CaTcP2Cl at its relaxed geometry (PBE, the Alexandria database).

Computed properties:
Formation energy from raw total energies, kJ per mole of atoms: -38.2
Final energy, eV per cell: -27.01
Total moment, μB/f.u.: 0.00
Relative energy among the computed polymorphs, eV per atom: 0.000
SG: P4/mmm, No. 123

```
5
Lattice="4.563 0.000 0.000 0.000 4.563 0.000 0.000 0.000 5.247" Properties=species:S:1:pos:R:3 pbc="T T T"
Ca 2.282 2.282 2.623
Tc 0.000 0.000 0.000
P 2.282 0.000 0.000
P 0.000 2.282 0.000
Cl 0.000 0.000 2.623
```

# CaTcP2Cl

Crystalline CaTcP2Cl at its relaxed geometry (PBE, the Alexandria database).

Computed properties:
Formation energy from raw total energies, kJ per mole of atoms: 98.3
Final energy, eV per cell: -19.94
Total moment, μB/f.u.: 3.78
Relative energy among the computed polymorphs, eV per atom: 1.415
SG: P4/mmm, No. 123

```
5
Lattice="-3.364 -1.926 -3.596 -0.244 -4.558 2.669 -3.848 1.761 2.657" Properties=species:S:1:pos:R:3 pbc="T T T"
P -0.122 -2.279 1.335
P -1.682 -0.963 -1.798
Ca 0.000 0.000 0.000
Tc -3.728 -2.361 0.865
Cl -1.924 0.881 1.328
```